#a
# NaTl2HgPt (GGA-PBE, relaxed)
# N(E_F) = 2.8 states/eV/f.u.
# calculated volume = 30.68 A^3/atom
data_NaTl2HgPt
_chemical_formula_sum 'Na1 Tl2 Hg1 Pt1'
_cell_length_a 5.333
_cell_length_b 5.333
_cell_length_c 5.395
_cell_angle_alpha 90.00
_cell_angle_beta 90.00
_cell_angle_gamma 90.00
_space_group_name_H-M_alt 'P 4/m m m'
_space_group_IT_number 123
_space_group_name_Hall '-P 4 2'
loop_
_atom_site_label
_atom_site_type_symbol
_atom_site_fract_x
_atom_site_fract_y
_atom_site_fract_z
_atom_site_occupancy
Na1 Na 0.000 0.000 0.000 1
Tl1 Tl 0.000 0.500 0.500 1
Hg1 Hg 0.500 0.500 0.000 1
Pt1 Pt 0.500 0.500 0.500 1

=====

#b
# NaTl2HgPt (GGA-PBE, relaxed)
# N(E_F) = 2.6 states/eV/f.u.
# calculated volume = 31.23 A^3/atom
data_NaTl2HgPt
_chemical_formula_sum 'Na1 Tl2 Hg1 Pt1'
_cell_length_a 5.285
_cell_length_b 5.285
_cell_length_c 5.591
_cell_angle_alpha 90.00
_cell_angle_beta 90.00
_cell_angle_gamma 90.00
_space_group_name_H-M_alt 'P 4/m m m'
_space_group_IT_number 123
_space_group_name_Hall '-P 4 2'
loop_
_atom_site_label
_atom_site_type_symbol
_atom_site_fract_x
_atom_site_fract_y
_atom_site_fract_z
_atom_site_occupancy
Na1 Na 0.000 0.000 0.000 1
Tl1 Tl 0.000 0.500 0.500 1
Hg1 Hg 0.500 0.500 0.000 1
Pt1 Pt 0.000 0.000 0.500 1

=====

The most stable of them is #b.

=====

#a
# NaPuHg (GGA-PBE, relaxed)
# N(E_F) = 7.6 states/eV/f.u.
# calculated volume = 27.16 A^3/atom
data_NaPuHg
_chemical_formula_sum 'Na2 Pu2 Hg2'
_cell_length_a 3.240
_cell_length_b 3.240
_cell_length_c 15.526
_cell_angle_alpha 90.00
_cell_angle_beta 90.00
_cell_angle_gamma 90.00
_space_group_name_H-M_alt 'I 4 m m'
_space_group_IT_number 107
_space_group_name_Hall 'I 4 -2'
loop_
_atom_site_label
_atom_site_type_symbol
_atom_site_fract_x
_atom_site_fract_y
_atom_site_fract_z
_atom_site_occupancy
Na1 Na 0.000 0.000 0.000 1
Pu1 Pu 0.000 0.000 0.302 1
Hg1 Hg 0.000 0.000 0.649 1

=====

#b
# NaPuHg (GGA-PBE, relaxed)
# N(E_F) = 4.6 states/eV/f.u.
# calculated volume = 25.21 A^3/atom
data_NaPuHg
_chemical_formula_sum 'Na4 Pu4 Hg4'
_cell_length_a 10.566
_cell_length_b 3.362
_cell_length_c 8.884
_cell_angle_alpha 90.00
_cell_angle_beta 106.54
_cell_angle_gamma 90.00
_space_group_name_H-M_alt 'C 1 2/m 1'
_space_group_IT_number 12
_space_group_name_Hall '-C 2y'
loop_
_atom_site_label
_atom_site_type_symbol
_atom_site_fract_x
_atom_site_fract_y
_atom_site_fract_z
_atom_site_occupancy
Na1 Na 0.156 0.000 0.109 1
Pu1 Pu 0.173 0.500 0.479 1
Hg1 Hg 0.076 0.000 0.729 1

=====

The most stable of them is #a.

=====

#a
# NaPuTlHg (GGA-PBE, relaxed)
# N(E_F) = 14.1 states/eV/f.u.
# calculated volume = 26.69 A^3/atom
data_NaPuTlHg
_chemical_formula_sum 'Na4 Pu4 Tl4 Hg4'
_cell_length_a 7.530
_cell_length_b 7.530
_cell_length_c 7.530
_cell_angle_alpha 90.00
_cell_angle_beta 90.00
_cell_angle_gamma 90.00
_space_group_name_H-M_alt 'F -4 3 m'
_space_group_IT_number 216
_space_group_name_Hall 'F -4 2 3'
loop_
_atom_site_label
_atom_site_type_symbol
_atom_site_fract_x
_atom_site_fract_y
_atom_site_fract_z
_atom_site_occupancy
Na1 Na 0.000 0.000 0.000 1
Pu1 Pu 0.000 0.000 0.500 1
Tl1 Tl 0.250 0.250 0.250 1
Hg1 Hg 0.250 0.250 0.750 1

=====

#b
# NaPuTlHg (GGA-PBE, relaxed)
# N(E_F) = 7.8 states/eV/f.u.
# calculated volume = 26.26 A^3/atom
data_NaPuTlHg
_chemical_formula_sum 'Na1 Pu1 Tl1 Hg1'
_cell_length_a 3.420
_cell_length_b 3.420
_cell_length_c 8.982
_cell_angle_alpha 90.00
_cell_angle_beta 90.00
_cell_angle_gamma 90.00
_space_group_name_H-M_alt 'P 4 m m'
_space_group_IT_number 99
_space_group_name_Hall 'P 4 -2'
loop_
_atom_site_label
_atom_site_type_symbol
_atom_site_fract_x
_atom_site_fract_y
_atom_site_fract_z
_atom_site_occupancy
Na1 Na 0.000 0.000 0.000 1
Pu1 Pu 0.000 0.000 0.485 1
Tl1 Tl 0.500 0.500 0.747 1
Hg1 Hg 0.500 0.500 0.239 1

=====

The most stable of them is #b.

=====

#a
# RbNa3Hg (GGA-PBE, relaxed)
# N(E_F) = 2.8 states/eV/f.u.
# calculated volume = 40.35 A^3/atom
data_RbNa3Hg
_chemical_formula_sum 'Rb8 Na24 Hg8'
_cell_length_a 17.875
_cell_length_b 11.735
_cell_length_c 7.902
_cell_angle_alpha 90.00
_cell_angle_beta 103.18
_cell_angle_gamma 90.00
_space_group_name_H-M_alt 'C 1 2/c 1'
_space_group_IT_number 15
_space_group_name_Hall '-C 2yc'
loop_
_atom_site_label
_atom_site_type_symbol
_atom_site_fract_x
_atom_site_fract_y
_atom_site_fract_z
_atom_site_occupancy
Rb1 Rb 0.000 0.044 0.250 1
Rb2 Rb 0.000 0.361 0.750 1
Na1 Na 0.182 0.167 0.084 1
Na2 Na 0.183 0.497 0.591 1
Na3 Na 0.188 0.169 0.597 1
Hg1 Hg 0.089 0.331 0.289 1

=====

#b
# RbNa3Hg (GGA-PBE, relaxed)
# N(E_F) = 2.6 states/eV/f.u.
# calculated volume = 40.73 A^3/atom
data_RbNa3Hg
_chemical_formula_sum 'Rb2 Na6 Hg2'
_cell_length_a 8.807
_cell_length_b 5.105
_cell_length_c 9.412
_cell_angle_alpha 90.00
_cell_angle_beta 105.76
_cell_angle_gamma 90.00
_space_group_name_H-M_alt 'P 1 21 1'
_space_group_IT_number 4
_space_group_name_Hall 'P 2yb'
loop_
_atom_site_label
_atom_site_type_symbol
_atom_site_fract_x
_atom_site_fract_y
_atom_site_fract_z
_atom_site_occupancy
Rb1 Rb 0.185 0.000 0.175 1
Na1 Na 0.108 0.002 0.638 1
Na2 Na 0.359 0.501 0.900 1
Na3 Na 0.360 0.501 0.528 1
Hg1 Hg 0.486 0.000 0.747 1

=====

#c
# RbNa3Hg (GGA-PBE, relaxed)
# N(E_F) = 2.4 states/eV/f.u.
# calculated volume = 44.34 A^3/atom
data_RbNa3Hg
_chemical_formula_sum 'Rb1 Na3 Hg1'
_cell_length_a 6.052
_cell_length_b 6.052
_cell_length_c 6.052
_cell_angle_alpha 90.00
_cell_angle_beta 90.00
_cell_angle_gamma 90.00
_space_group_name_H-M_alt 'P m -3 m'
_space_group_IT_number 221
_space_group_name_Hall '-P 4 2 3'
loop_
_atom_site_label
_atom_site_type_symbol
_atom_site_fract_x
_atom_site_fract_y
_atom_site_fract_z
_atom_site_occupancy
Rb1 Rb 0.000 0.000 0.000 1
Na1 Na 0.000 0.500 0.500 1
Hg1 Hg 0.500 0.500 0.500 1

=====

#d
# RbNa3Hg (GGA-PBE, relaxed)
# N(E_F) = 3.9 states/eV/f.u.
# calculated volume = 75.20 A^3/atom
data_RbNa3Hg
_chemical_formula_sum 'Rb1 Na3 Hg1'
_cell_length_a 7.218
_cell_length_b 7.218
_cell_length_c 7.218
_cell_angle_alpha 90.00
_cell_angle_beta 90.00
_cell_angle_gamma 90.00
_space_group_name_H-M_alt 'P m -3 m'
_space_group_IT_number 221
_space_group_name_Hall '-P 4 2 3'
loop_
_atom_site_label
_atom_site_type_symbol
_atom_site_fract_x
_atom_site_fract_y
_atom_site_fract_z
_atom_site_occupancy
Rb1 Rb 0.000 0.000 0.000 1
Na1 Na 0.000 0.000 0.500 1
Hg1 Hg 0.500 0.500 0.500 1

=====

The most stable of them is #b.

=====

#a
# Rb3NaHg (GGA-PBE, relaxed)
# N(E_F) = 2.5 states/eV/f.u.
# calculated volume = 59.82 A^3/atom
data_Rb3NaHg
_chemical_formula_sum 'Rb6 Na2 Hg2'
_cell_length_a 5.256
_cell_length_b 11.379
_cell_length_c 10.001
_cell_angle_alpha 90.00
_cell_angle_beta 90.00
_cell_angle_gamma 90.00
_space_group_name_H-M_alt 'P m m n'
_space_group_IT_number 59
loop_
_space_group_symop_operation_xyz
'x,y,z'
'-x,-y,-z'
'-x+1/2,-y+1/2,z'
'x+1/2,y+1/2,-z'
'x+1/2,-y,-z'
'-x+1/2,y,z'
'-x,y+1/2,-z'
'x,-y+1/2,z'
loop_
_atom_site_label
_atom_site_type_symbol
_atom_site_fract_x
_atom_site_fract_y
_atom_site_fract_z
_atom_site_occupancy
Rb1 Rb 0.250 0.041 0.180 1
Rb2 Rb 0.250 0.750 0.515 1
Na1 Na 0.250 0.250 0.833 1
Hg1 Hg 0.250 0.750 0.970 1

=====

#b
# Rb3NaHg (GGA-PBE, relaxed)
# N(E_F) = 2.9 states/eV/f.u.
# calculated volume = 60.34 A^3/atom
data_Rb3NaHg
_chemical_formula_sum 'Rb6 Na2 Hg2'
_cell_length_a 5.087
_cell_length_b 10.824
_cell_length_c 11.288
_cell_angle_alpha 86.99
_cell_angle_beta 89.97
_cell_angle_gamma 76.44
_space_group_name_H-M_alt 'P -1'
_space_group_IT_number 2
_space_group_name_Hall '-P 1'
loop_
_atom_site_label
_atom_site_type_symbol
_atom_site_fract_x
_atom_site_fract_y
_atom_site_fract_z
_atom_site_occupancy
Rb1 Rb 0.061 0.377 0.218 1
Rb2 Rb 0.245 0.008 0.803 1
Rb3 Rb 0.394 0.712 0.437 1
Na1 Na 0.413 0.674 0.071 1
Hg1 Hg 0.216 0.066 0.444 1

=====

The most stable of them is #a.

=====

#a
# Rb2Na2Hg (GGA-PBE, relaxed)
# N(E_F) = 1.6 states/eV/f.u.
# calculated volume = 52.23 A^3/atom
data_Rb2Na2Hg
_chemical_formula_sum 'Rb8 Na8 Hg4'
_cell_length_a 5.203
_cell_length_b 21.602
_cell_length_c 9.295
_cell_angle_alpha 90.00
_cell_angle_beta 90.00
_cell_angle_gamma 90.00
_space_group_name_H-M_alt 'C m c 21'
_space_group_IT_number 36
_space_group_name_Hall 'C 2c -2'
loop_
_atom_site_label
_atom_site_type_symbol
_atom_site_fract_x
_atom_site_fract_y
_atom_site_fract_z
_atom_site_occupancy
Rb1 Rb 0.000 0.056 0.000 1
Rb2 Rb 0.000 0.266 0.298 1
Na1 Na 0.000 0.124 0.588 1
Na2 Na 0.000 0.415 0.847 1
Hg1 Hg 0.000 0.449 0.192 1

=====

#b
# Rb2Na2Hg (GGA-PBE, relaxed)
# N(E_F) = 3.1 states/eV/f.u.
# calculated volume = 51.13 A^3/atom
data_Rb2Na2Hg
_chemical_formula_sum 'Rb4 Na4 Hg2'
_cell_length_a 4.694
_cell_length_b 4.694
_cell_length_c 23.207
_cell_angle_alpha 90.00
_cell_angle_beta 90.00
_cell_angle_gamma 90.00
_space_group_name_H-M_alt 'I 4/m m m'
_space_group_IT_number 139
_space_group_name_Hall '-I 4 2'
loop_
_atom_site_label
_atom_site_type_symbol
_atom_site_fract_x
_atom_site_fract_y
_atom_site_fract_z
_atom_site_occupancy
Rb1 Rb 0.000 0.000 0.093 1
Na1 Na 0.000 0.500 0.250 1
Hg1 Hg 0.000 0.000 0.500 1

=====

The most stable of them is #a.